A geometry-optimized SmY9Er2 structure, computed with GGA-PBE.

```
data_SmY9Er2
_chemical_formula_sum 'Sm1 Y9 Er2'
_space_group_name_H-M_alt 'P 1'
_space_group_IT_number 1
_space_group_name_Hall 'P 1'
_cell_length_a 5.042
_cell_length_b 5.042
_cell_length_c 15.140
_cell_angle_alpha 90.00
_cell_angle_beta 90.00
_cell_angle_gamma 90.00
loop_
_atom_site_label
_atom_site_type_symbol
_atom_site_fract_x
_atom_site_fract_y
_atom_site_fract_z
Sm1 Sm 0.000 0.000 0.000
Y1 Y 0.000 0.500 0.168
Y2 Y 0.000 0.500 0.500
Y3 Y 0.000 0.500 0.832
Y4 Y 0.500 0.000 0.168
Y5 Y 0.500 0.000 0.500
Y6 Y 0.500 0.000 0.832
Y7 Y 0.500 0.500 0.000
Y8 Y 0.500 0.500 0.335
Y9 Y 0.500 0.500 0.665
Er1 Er 0.000 0.000 0.334
Er2 Er 0.000 0.000 0.666
```

Properties
* space-group type: No. 123
* ΔH_f (0 K): 0.026 eV per atom
* raw total energy: -5.9762 eV per atom

=====

A geometry-optimized ReAs2P structure, computed with GGA-PBE.

```
data_ReAs2P
_chemical_formula_sum 'Re4 As8 P4'
_space_group_name_H-M_alt 'P 1'
_space_group_IT_number 1
_space_group_name_Hall 'P 1'
_cell_length_a 5.662
_cell_length_b 5.662
_cell_length_c 10.826
_cell_angle_alpha 90.00
_cell_angle_beta 90.00
_cell_angle_gamma 90.00
loop_
_atom_site_label
_atom_site_type_symbol
_atom_site_fract_x
_atom_site_fract_y
_atom_site_fract_z
Re1 Re 0.000 0.000 0.000
Re2 Re 0.000 0.500 0.250
Re3 Re 0.500 0.000 0.750
Re4 Re 0.500 0.500 0.500
As1 As 0.243 0.250 0.125
As2 As 0.250 0.743 0.375
As3 As 0.250 0.757 0.875
As4 As 0.257 0.250 0.625
As5 As 0.743 0.750 0.625
As6 As 0.750 0.243 0.875
As7 As 0.750 0.257 0.375
As8 As 0.757 0.750 0.125
P1 P 0.000 0.000 0.500
P2 P 0.000 0.500 0.750
P3 P 0.500 0.000 0.250
P4 P 0.500 0.500 0.000
```

Properties
* space-group type: No. 122
* ΔH_f (0 K): 0.517 eV per atom
* raw total energy: -6.2721 eV per atom

=====

A geometry-optimized ZrScTl2 structure, computed with GGA-PBE.

```
data_ZrScTl2
_chemical_formula_sum 'Zr2 Sc2 Tl4'
_space_group_name_H-M_alt 'P 1'
_space_group_IT_number 1
_space_group_name_Hall 'P 1'
_cell_length_a 9.905
_cell_length_b 3.280
_cell_length_c 6.049
_cell_angle_alpha 90.00
_cell_angle_beta 98.67
_cell_angle_gamma 90.00
loop_
_atom_site_label
_atom_site_type_symbol
_atom_site_fract_x
_atom_site_fract_y
_atom_site_fract_z
Zr1 Zr 0.000 0.000 0.000
Zr2 Zr 0.500 0.500 0.000
Sc1 Sc 0.000 0.500 0.500
Sc2 Sc 0.500 0.000 0.500
Tl1 Tl 0.249 0.000 0.750
Tl2 Tl 0.251 0.500 0.250
Tl3 Tl 0.749 0.500 0.750
Tl4 Tl 0.751 0.000 0.250
```

Properties
* space-group type: No. 12
* ΔH_f (0 K): -0.055 eV per atom
* raw total energy: -4.9578 eV per atom

=====

A geometry-optimized PmDy3Sn2 structure, computed with GGA-PBE.

```
data_PmDy3Sn2
_chemical_formula_sum 'Pm2 Dy6 Sn4'
_space_group_name_H-M_alt 'P 1'
_space_group_IT_number 1
_space_group_name_Hall 'P 1'
_cell_length_a 9.301
_cell_length_b 9.301
_cell_length_c 9.557
_cell_angle_alpha 113.12
_cell_angle_beta 113.12
_cell_angle_gamma 28.50
loop_
_atom_site_label
_atom_site_type_symbol
_atom_site_fract_x
_atom_site_fract_y
_atom_site_fract_z
Pm1 Pm 0.115 0.115 0.131
Pm2 Pm 0.885 0.885 0.869
Dy1 Dy 0.055 0.055 0.690
Dy2 Dy 0.308 0.308 0.111
Dy3 Dy 0.354 0.354 0.518
Dy4 Dy 0.646 0.646 0.482
Dy5 Dy 0.692 0.692 0.889
Dy6 Dy 0.945 0.945 0.310
Sn1 Sn 0.243 0.243 0.714
Sn2 Sn 0.491 0.491 0.146
Sn3 Sn 0.509 0.509 0.854
Sn4 Sn 0.757 0.757 0.286
```

Properties
* space-group type: No. 12
* ΔH_f (0 K): -0.505 eV per atom
* raw total energy: -4.9321 eV per atom

=====

A geometry-optimized Si2PAu structure, computed with GGA-PBE.

```
data_Si2PAu
_chemical_formula_sum 'Si2 P1 Au1'
_space_group_name_H-M_alt 'P 1'
_space_group_IT_number 1
_space_group_name_Hall 'P 1'
_cell_length_a 4.640
_cell_length_b 4.640
_cell_length_c 3.010
_cell_angle_alpha 90.00
_cell_angle_beta 90.00
_cell_angle_gamma 90.00
loop_
_atom_site_label
_atom_site_type_symbol
_atom_site_fract_x
_atom_site_fract_y
_atom_site_fract_z
Si1 Si 0.000 0.500 0.000
Si2 Si 0.500 0.000 0.000
P1 P 0.000 0.000 0.500
Au1 Au 0.500 0.500 0.500
```

Properties
* energy relative to the elements, uncorrected: 2.03 eV per formula unit
* space-group type: No. 123
* raw total energy: -4.3766 eV per atom

=====

A geometry-optimized Ag4Hg structure, computed with GGA-PBE.

```
data_Ag4Hg
_chemical_formula_sum 'Ag4 Hg1'
_space_group_name_H-M_alt 'P 1'
_space_group_IT_number 1
_space_group_name_Hall 'P 1'
_cell_length_a 5.214
_cell_length_b 5.214
_cell_length_c 5.214
_cell_angle_alpha 90.00
_cell_angle_beta 90.00
_cell_angle_gamma 90.00
loop_
_atom_site_label
_atom_site_type_symbol
_atom_site_fract_x
_atom_site_fract_y
_atom_site_fract_z
Ag1 Ag 0.000 0.000 0.000
Ag2 Ag 0.000 0.500 0.500
Ag3 Ag 0.500 0.000 0.500
Ag4 Ag 0.500 0.500 0.000
Hg1 Hg 0.500 0.500 0.500
```

Properties
* excess energy over the best structure of this formula in the dataset: 0.7288 eV per atom
* space-group type: No. 221
* ΔH_f (0 K): 0.762 eV per atom
* raw total energy: -1.5796 eV per atom

=====

A geometry-optimized In5Te3H2 structure, computed with GGA-PBE.

```
data_In5Te3H2
_chemical_formula_sum 'In10 Te6 H4'
_space_group_name_H-M_alt 'P 1'
_space_group_IT_number 1
_space_group_name_Hall 'P 1'
_cell_length_a 6.677
_cell_length_b 8.420
_cell_length_c 10.036
_cell_angle_alpha 87.12
_cell_angle_beta 77.63
_cell_angle_gamma 81.10
loop_
_atom_site_label
_atom_site_type_symbol
_atom_site_fract_x
_atom_site_fract_y
_atom_site_fract_z
In1 In 0.005 0.181 0.411
In2 In 0.218 0.220 0.874
In3 In 0.221 0.638 0.342
In4 In 0.353 0.347 0.553
In5 In 0.423 0.679 0.880
In6 In 0.577 0.321 0.120
In7 In 0.647 0.653 0.447
In8 In 0.779 0.362 0.658
In9 In 0.782 0.780 0.126
In10 In 0.995 0.819 0.589
Te1 Te 0.123 0.389 0.176
Te2 Te 0.269 0.868 0.113
Te3 Te 0.373 0.890 0.658
Te4 Te 0.627 0.110 0.342
Te5 Te 0.731 0.132 0.887
Te6 Te 0.877 0.611 0.824
H1 H 0.160 0.985 0.393
H2 H 0.361 0.482 0.866
H3 H 0.639 0.518 0.134
H4 H 0.840 0.015 0.607
```

Properties
* space-group type: No. 2
* raw total energy: -3.0246 eV per atom

=====

A geometry-optimized Mg3NbO structure, computed with GGA-PBE.

```
data_Mg3NbO
_chemical_formula_sum 'Mg3 Nb1 O1'
_space_group_name_H-M_alt 'P 1'
_space_group_IT_number 1
_space_group_name_Hall 'P 1'
_cell_length_a 5.448
_cell_length_b 5.448
_cell_length_c 5.448
_cell_angle_alpha 90.00
_cell_angle_beta 90.00
_cell_angle_gamma 90.00
loop_
_atom_site_label
_atom_site_type_symbol
_atom_site_fract_x
_atom_site_fract_y
_atom_site_fract_z
Mg1 Mg 0.000 0.000 0.500
Mg2 Mg 0.000 0.500 0.000
Mg3 Mg 0.500 0.000 0.000
Nb1 Nb 0.000 0.000 0.000
O1 O 0.500 0.500 0.500
```

Properties
* excess energy over the best structure of this formula in the dataset: 1.9595 eV per atom
* energy relative to the elements, uncorrected: 7.62 eV per formula unit
* space-group type: No. 221
* raw total energy: -2.4386 eV per atom

=====

A geometry-optimized H3S structure, computed with GGA-PBE.

```
data_H3S
_chemical_formula_sum 'H9 S3'
_space_group_name_H-M_alt 'P 1'
_space_group_IT_number 1
_space_group_name_Hall 'P 1'
_cell_length_a 5.619
_cell_length_b 5.619
_cell_length_c 3.418
_cell_angle_alpha 90.00
_cell_angle_beta 90.00
_cell_angle_gamma 120.00
loop_
_atom_site_label
_atom_site_type_symbol
_atom_site_fract_x
_atom_site_fract_y
_atom_site_fract_z
H1 H 0.215 0.430 0.000
H2 H 0.215 0.785 0.000
H3 H 0.236 0.118 0.333
H4 H 0.548 0.097 0.667
H5 H 0.548 0.452 0.667
H6 H 0.570 0.785 0.000
H7 H 0.882 0.118 0.333
H8 H 0.882 0.764 0.333
H9 H 0.903 0.452 0.667
S1 S 0.000 0.000 0.595
S2 S 0.333 0.667 0.261
S3 S 0.667 0.333 0.928
```

Properties
* space-group type: No. 160
* raw total energy: -3.1567 eV per atom

=====

A geometry-optimized TiB2RhI structure, computed with GGA-PBE.

```
data_TiB2RhI
_chemical_formula_sum 'Ti1 B2 Rh1 I1'
_space_group_name_H-M_alt 'P 1'
_space_group_IT_number 1
_space_group_name_Hall 'P 1'
_cell_length_a 4.049
_cell_length_b 4.049
_cell_length_c 5.719
_cell_angle_alpha 90.00
_cell_angle_beta 90.00
_cell_angle_gamma 90.00
loop_
_atom_site_label
_atom_site_type_symbol
_atom_site_fract_x
_atom_site_fract_y
_atom_site_fract_z
Ti1 Ti 0.000 0.000 0.000
B1 B 0.000 0.500 0.500
B2 B 0.500 0.000 0.500
Rh1 Rh 0.500 0.500 0.500
I1 I 0.500 0.500 0.000
```

Properties
* energy relative to the elements, uncorrected: 4.66 eV per formula unit
* space-group type: No. 123
* raw total energy: -5.0978 eV per atom